Entry 1:
A plane-wave DFT calculation with GGA-PBEsol was carried out for Li2LaPb after structural relaxation.

Geometry as POSCAR:
```
Li2LaPb
1.0
4.612 0.000 0.000
0.000 4.612 0.000
0.000 0.000 4.907
Pb La Li
1 1 2
Cartesian
2.306 2.306 2.454
0.000 0.000 2.454
2.306 0.000 0.000
0.000 2.306 0.000
```

SG: No. 123
ρ in Mg/m³: 5.73
Calculated formation energy in eV per atom: -0.238



Entry 2:
A plane-wave DFT calculation with GGA-PBEsol was carried out for LiLa2Pb after structural relaxation.

Geometry as POSCAR:
```
LiLa2Pb
1.0
4.643 0.000 0.000
0.000 4.955 0.032
0.000 -0.270 4.947
Li La Pb
1 2 1
Cartesian
2.321 0.000 0.000
0.000 -0.135 2.474
0.000 2.477 0.016
2.321 2.342 2.490
```

SG: No. 65
ρ in Mg/m³: 7.18
Calculated formation energy in eV per atom: -0.361